No. 1
# Nd2Cd3Sn

Crystalline Nd2Cd3Sn at its relaxed geometry (PBE-GGA, Alexandria).

Cell: 9.934 9.373 6.216 Å, 76.19 66.39 37.42°
Fractional positions:
Nd1 0.246 0.754 0.754
Nd2 0.250 0.250 0.250
Nd3 0.750 0.750 0.750
Nd4 0.754 0.246 0.246
Cd1 0.165 0.165 0.835
Cd2 0.167 0.669 0.331
Cd3 0.331 0.833 0.167
Cd4 0.669 0.167 0.833
Cd5 0.833 0.331 0.669
Cd6 0.835 0.835 0.165
Sn1 0.334 0.334 0.666
Sn2 0.666 0.666 0.334

Computed properties:
- Calculated formation energy: -2.8 eV/f.u.

No. 2
# CdIn2H2

Crystalline CdIn2H2 at its relaxed geometry (PBE-GGA, Alexandria).

Cell: 4.907 4.907 6.858 Å, 94.04 94.04 59.95°
Fractional positions:
Cd1 0.000 0.000 0.000
In1 0.325 0.325 0.877
In2 0.675 0.675 0.123
H1 0.007 0.007 0.555
H2 0.993 0.993 0.445

Computed properties:
- E above lowest polymorph: 0.000 eV/atom

No. 3
# Sm2Er3Ir2

Crystalline Sm2Er3Ir2 at its relaxed geometry (PBE-GGA, Alexandria).

Cell: 6.367 6.367 8.954 Å, 115.44 115.44 34.85°
Fractional positions:
Sm1 0.166 0.166 0.306
Sm2 0.834 0.834 0.694
Er1 0.380 0.380 0.069
Er2 0.500 0.500 0.500
Er3 0.620 0.620 0.931
Ir1 0.173 0.173 0.740
Ir2 0.827 0.827 0.260

Computed properties:
- Calculated formation energy: -4.4 eV/f.u.

No. 4
# MgInB2

Crystalline MgInB2 at its relaxed geometry (PBE-GGA, Alexandria).

Cell: 5.544 5.544 5.544 Å, 110.25 110.25 107.93°
Fractional positions:
Mg1 0.000 0.000 0.000
Mg2 0.750 0.250 0.500
In1 0.250 0.750 0.500
In2 0.500 0.500 0.000
B1 0.131 0.625 0.006
B2 0.375 0.381 0.506
B3 0.619 0.125 0.994
B4 0.875 0.869 0.494

Computed properties:
- Calculated formation energy: 5.0 eV/f.u.
- E above lowest polymorph: 0.109 eV/atom

No. 5
# Li2ZnPb

Crystalline Li2ZnPb at its relaxed geometry (PBE-GGA, Alexandria).

Cell: 4.562 4.562 3.581 Å, 90.00 90.00 90.00°
Fractional positions:
Li1 0.000 0.500 0.000
Li2 0.500 0.000 0.000
Zn1 0.000 0.000 0.500
Pb1 0.500 0.500 0.500

Computed properties:
- Calculated formation energy: -0.8 eV/f.u.

No. 6
# K2Mg2Se2S

Crystalline K2Mg2Se2S at its relaxed geometry (PBE-GGA, Alexandria).

Cell: 7.349 7.349 7.988 Å, 120.78 120.78 33.67°
Fractional positions:
K1 0.069 0.069 0.336
K2 0.931 0.931 0.664
Mg1 0.313 0.313 0.932
Mg2 0.687 0.687 0.068
Se1 0.307 0.307 0.258
Se2 0.693 0.693 0.742
S1 0.500 0.500 0.000

Computed properties:
- Raw formation energy: -1.296 eV per atom

No. 7
# LiCd3B

Crystalline LiCd3B at its relaxed geometry (PBE-GGA, Alexandria).

Cell: 4.779 4.779 4.779 Å, 90.00 90.00 90.00°
Fractional positions:
Li1 0.000 0.000 0.000
Cd1 0.000 0.000 0.500
Cd2 0.000 0.500 0.000
Cd3 0.500 0.000 0.000
B1 0.500 0.500 0.500

Computed properties:
- Calculated formation energy: 5.4 eV/f.u.
- E above lowest polymorph: 0.718 eV/atom

No. 8
# AlRu2Pb

Crystalline AlRu2Pb at its relaxed geometry (PBE-GGA, Alexandria).

Cell: 9.020 9.020 9.020 Å, 19.35 19.35 19.35°
Fractional positions:
Al1 0.000 0.000 0.000
Ru1 0.478 0.478 0.478
Ru2 0.736 0.736 0.736
Pb1 0.233 0.233 0.233

Computed properties:
- Calculated formation energy: 1.4 eV/f.u.
- E above lowest polymorph: 0.345 eV/atom

No. 9
# TiV2Cu

Crystalline TiV2Cu at its relaxed geometry (PBE-GGA, Alexandria).

Cell: 3.090 3.090 5.864 Å, 90.00 90.00 90.00°
Fractional positions:
Ti1 0.000 0.000 0.000
V1 0.000 0.000 0.519
V2 0.500 0.500 0.737
Cu1 0.500 0.500 0.261

Computed properties:
- Calculated formation energy: 0.1 eV/f.u.
- E above lowest polymorph: 0.000 eV/atom

No. 10
# GdLuBeIn

Crystalline GdLuBeIn at its relaxed geometry (PBE-GGA, Alexandria).

Cell: 5.090 5.090 5.090 Å, 60.00 60.00 60.00°
Fractional positions:
Gd1 0.000 0.000 0.000
Lu1 0.500 0.500 0.500
Be1 0.250 0.250 0.250
In1 0.750 0.750 0.750

Computed properties:
- Calculated formation energy: -0.4 eV/f.u.

No. 11
# As3C

Crystalline As3C at its relaxed geometry (PBE-GGA, Alexandria).

Cell: 4.359 4.359 4.359 Å, 90.00 90.00 90.00°
Fractional positions:
As1 0.000 0.000 0.500
As2 0.000 0.500 0.000
As3 0.500 0.000 0.000
C1 0.000 0.000 0.000

Computed properties:
- Calculated formation energy: 5.6 eV/f.u.
- E above lowest polymorph: 0.848 eV/atom

No. 12
# BaZr3

Crystalline BaZr3 at its relaxed geometry (PBE-GGA, Alexandria).

Cell: 5.329 5.329 5.329 Å, 60.00 60.00 60.00°
Fractional positions:
Ba1 0.000 0.000 0.000
Zr1 0.250 0.250 0.250
Zr2 0.500 0.500 0.500
Zr3 0.750 0.750 0.750

Computed properties:
- Calculated formation energy: 2.6 eV/f.u.
- E above lowest polymorph: 0.338 eV/atom

These records have density values of 7751, 4010, 10641, 4072, 6383, 2603, 5401, 10282, 6326, 8123, 4747, 6378 kg/m³, in the order they appear.